12
Lattice="5.8261 0.0000 0.0000 -2.9130 5.0456 0.0000 0.0000 0.0000 8.0281" Properties=species:S:1:pos:R:3 comment="BaAcCr2O8 | Alexandria via LeMat-Bulk | PBE with a Hubbard U | relaxed" final_energy_ev_per_fu=-85.57 sg="No. 147" pbc="T T T"
Ba 0.0000 0.0000 0.0000
Ac 0.0000 0.0000 4.0140
Cr 2.9131 1.6818 1.7018
Cr 0.0000 3.3637 6.3262
O 0.0000 3.3637 7.9773
O 1.5130 0.8799 2.2630
O 4.3076 0.8703 2.2630
O 2.9131 1.6818 0.0507
O -1.3945 4.1752 5.7650
O 1.4001 4.1657 5.7650
O -0.0055 1.7502 5.7650
O 2.9186 3.2953 2.2630